First-principles (meta-GGA SCAN) data for a crystal of TaMnRe2 relaxed with PBEsol, as listed in the Alexandria database.

Cell: 6.1555 6.1555 6.1555 Å, 90.00 90.00 90.00°
Sites, in units of the cell vectors:
Ta 0.0000 0.0000 0.0000
Ta 0.0000 0.5000 0.5000
Ta 0.5000 0.0000 0.5000
Ta 0.5000 0.5000 0.0000
Mn 0.2500 0.2500 0.7500
Mn 0.2500 0.7500 0.2500
Mn 0.7500 0.2500 0.2500
Mn 0.7500 0.7500 0.7500
Re 0.0000 0.0000 0.5000
Re 0.0000 0.5000 0.0000
Re 0.2500 0.2500 0.2500
Re 0.2500 0.7500 0.7500
Re 0.5000 0.0000 0.0000
Re 0.5000 0.5000 0.5000
Re 0.7500 0.2500 0.7500
Re 0.7500 0.7500 0.2500


First-principles (meta-GGA SCAN) data for a crystal of LiGeOs3 relaxed with PBEsol, as listed in the Alexandria database.

Cell: 4.0857 4.0857 4.0857 Å, 90.00 90.00 90.00°
Sites, in units of the cell vectors:
Li 0.0000 0.0000 0.0000
Ge 0.5000 0.5000 0.5000
Os 0.0000 0.0000 0.5000
Os 0.0000 0.5000 0.0000
Os 0.5000 0.0000 0.0000


First-principles (meta-GGA SCAN) data for a crystal of RbBaPb3 relaxed with PBEsol, as listed in the Alexandria database.

Cell: 6.3160 6.3160 6.3160 Å, 90.00 90.00 90.00°
Sites, in units of the cell vectors:
Rb 0.0000 0.0000 0.0000
Ba 0.5000 0.5000 0.5000
Pb 0.0000 0.5000 0.5000
Pb 0.5000 0.0000 0.5000
Pb 0.5000 0.5000 0.0000


First-principles (meta-GGA SCAN) data for a crystal of CaLaW3 relaxed with PBEsol, as listed in the Alexandria database.

Cell: 4.8960 4.8960 4.8960 Å, 90.00 90.00 90.00°
Sites, in units of the cell vectors:
Ca 0.0000 0.0000 0.0000
La 0.5000 0.5000 0.5000
W 0.0000 0.5000 0.5000
W 0.5000 0.0000 0.5000
W 0.5000 0.5000 0.0000


| no. | DFT formation energy (eV/atom) | total magnetic moment (μB per formula unit) | density of states at the Fermi level (states/eV per atom) |
| --- | --- | --- | --- |
| 1 | -0.1697 | 2.35 | 0.475 |
| 2 | 1.4454 | 2.11 | 0.523 |
| 3 | 0.3375 | 0.00 | 1.013 |
| 4 | 2.6380 | 0.00 | 1.305 |